DyYHo4 | PBE-GGA | optimized geometry

Properties
**M_tot**: 0.000 μB/atom
**Final energy**: -4.75 eV per atom
**Formation energy**: 144 meV/atom
**ΔE to the lowest computed polymorph**: 122 meV/atom

a = 6.432 Å, b = 8.797 Å, c = 8.538 Å
α = 111.96°, β = 100.57°, γ = 112.02°
Fractional coordinates of all 12 atoms:
Dy 0.252 0.002 0.003
Dy 0.748 0.998 0.997
Y 0.335 0.585 0.170
Y 0.665 0.415 0.830
Ho 0.048 0.169 0.743
Ho 0.748 0.711 0.607
Ho 0.195 0.574 0.743
Ho 0.359 0.896 0.607
Ho 0.641 0.104 0.393
Ho 0.805 0.426 0.257
Ho 0.252 0.289 0.393
Ho 0.952 0.831 0.257



Dy6Y8Ho | PBE-GGA | optimized geometry

Properties
**M_tot**: 0.000 μB/atom
**Final energy**: -5.41 eV per atom
**Formation energy**: 185 meV/atom
**ΔE to the lowest computed polymorph**: 56 meV/atom

a = 9.711 Å, b = 9.711 Å, c = 8.150 Å
α = 53.43°, β = 53.43°, γ = 60.00°
Fractional coordinates of all 15 atoms:
Dy 0.388 0.932 0.966
Dy 0.068 0.285 0.034
Dy 0.285 0.612 0.034
Dy 0.715 0.388 0.966
Dy 0.932 0.715 0.966
Dy 0.612 0.068 0.034
Y 0.356 0.230 0.486
Y 0.770 0.072 0.514
Y 0.072 0.644 0.514
Y 0.588 0.588 0.237
Y 0.412 0.412 0.763
Y 0.928 0.356 0.486
Y 0.230 0.928 0.486
Y 0.644 0.770 0.514
Ho 0.000 0.000 0.000



Dy3YHo4 | PBE-GGA | optimized geometry

Properties
**M_tot**: 0.000 μB/atom
**Final energy**: -4.82 eV per atom
**Formation energy**: 4 meV/atom
**ΔE to the lowest computed polymorph**: 0 meV/atom

a = 6.265 Å, b = 7.246 Å, c = 11.201 Å
α = 90.00°, β = 90.00°, γ = 90.00°
Fractional coordinates of all 16 atoms:
Dy 0.648 0.626 0.000
Dy 0.982 0.626 0.250
Dy 0.482 0.374 0.250
Dy 0.148 0.374 0.500
Dy 0.482 0.374 0.750
Dy 0.982 0.626 0.750
Y 0.148 0.374 0.000
Y 0.648 0.626 0.500
Ho 0.147 0.876 0.000
Ho 0.648 0.124 0.000
Ho 0.980 0.124 0.251
Ho 0.480 0.876 0.249
Ho 0.148 0.876 0.500
Ho 0.647 0.124 0.500
Ho 0.480 0.876 0.751
Ho 0.980 0.124 0.749



What is the formula in the second record? Dy6Y8Ho